No. 1
The following is a DFT calculation (PBEsol) of Rb2ThAs2O8 after structural relaxation.

abc: 8.0201 11.4541 10.1359
angles: 90.00 116.70 90.00
Last column: nearest neighbours and their distance in Å.
Fractional positions:
Rb  0.1468  0.1266  0.0459  5 O 2.73-3.05
Rb  0.1468  0.3734  0.5459  5 O 2.73-3.05
Rb  0.3347  0.1146  0.4573  4 O 2.76-2.90
Rb  0.3347  0.3854  0.9573  4 O 2.76-2.90
Rb  0.6653  0.6146  0.0427  4 O 2.76-2.90
Rb  0.6653  0.8854  0.5427  4 O 2.76-2.90
Rb  0.8532  0.6266  0.4541  5 O 2.73-3.05
Rb  0.8532  0.8734  0.9541  5 O 2.73-3.05
Th  0.2562  0.6382  0.2785  8 O 2.35-2.52
Th  0.2562  0.8618  0.7785  8 O 2.35-2.52
Th  0.7438  0.1382  0.2215  8 O 2.35-2.52
Th  0.7438  0.3618  0.7215  8 O 2.35-2.52
As  0.0657  0.6394  0.8525  4 O 1.71-1.72
As  0.0657  0.8606  0.3525  4 O 1.71-1.72
As  0.4620  0.6331  0.6331  4 O 1.71-1.72
As  0.4620  0.8669  0.1331  4 O 1.71-1.72
As  0.5380  0.1331  0.8669  4 O 1.71-1.72
As  0.5380  0.3669  0.3669  4 O 1.71-1.72
As  0.9343  0.1394  0.6475  4 O 1.71-1.72
As  0.9343  0.3606  0.1475  4 O 1.71-1.72
O  0.0360  0.0145  0.7406  1 As 1.71
O  0.0357  0.2379  0.2498  1 As 1.72
O  0.0357  0.2621  0.7498  1 As 1.72
O  0.0360  0.4855  0.2406  1 As 1.71
O  0.0668  0.6433  0.0219  1 As 1.71
O  0.0668  0.8567  0.5219  1 As 1.71
O  0.2334  0.6052  0.5125  1 As 1.72
O  0.2334  0.8948  0.0125  1 As 1.72
O  0.2861  0.6536  0.8672  1 As 1.71
O  0.2861  0.8464  0.3672  1 As 1.71
O  0.4290  0.0200  0.7477  1 As 1.72
O  0.4290  0.4800  0.2477  1 As 1.72
O  0.4513  0.1463  0.9934  1 As 1.72
O  0.4513  0.3537  0.4934  1 As 1.72
O  0.4870  0.7393  0.2281  1 As 1.71
O  0.4870  0.7607  0.7281  1 As 1.71
O  0.5130  0.2393  0.2719  1 As 1.71
O  0.5130  0.2607  0.7719  1 As 1.71
O  0.5487  0.6463  0.5066  1 As 1.72
O  0.5487  0.8537  0.0066  1 As 1.72
O  0.5710  0.5200  0.7523  1 As 1.72
O  0.5710  0.9800  0.2523  1 As 1.72
O  0.7139  0.1536  0.6328  1 As 1.71
O  0.7139  0.3464  0.1328  1 As 1.71
O  0.7666  0.1052  0.9875  1 As 1.72
O  0.7666  0.3948  0.4875  1 As 1.72
O  0.9332  0.1433  0.4781  1 As 1.71
O  0.9332  0.3567  0.9781  1 As 1.71
O  0.9640  0.5145  0.7594  1 As 1.71
O  0.9643  0.7379  0.2502  1 As 1.72
O  0.9643  0.7621  0.7502  1 As 1.72
O  0.9640  0.9855  0.2594  1 As 1.71

Output
The formation energy from raw total energies comes out at -2101 meV per atom. As for the crystal system: monoclinic. As for the space group: P2_1/c.

---

No. 2
The following is a DFT calculation (PBEsol) of Rb2TiAsO after structural relaxation.

abc: 5.8781 5.8781 3.8284
angles: 90.00 90.00 90.00
Last column: nearest neighbours and their distance in Å.
Fractional positions:
Rb  0.0000  0.5000  0.0000  2 O 2.94
Rb  0.5000  0.0000  0.0000  2 O 2.94
Ti  0.0000  0.0000  0.5000  2 O 1.91
As  0.5000  0.5000  0.5000  8 Rb 3.51, 2 As 3.83
O  0.0000  0.0000  0.0000  2 Ti 1.91

Output
The formation energy from raw total energies comes out at -585 meV per atom. As for the crystal system: tetragonal. As for the space group: P4/mmm.

---

No. 3
The following is a DFT calculation (PBEsol) of Rb4U3As2O16 after structural relaxation.

abc: 7.0225 17.3936 7.0665
angles: 90.00 90.95 90.00
Last column: nearest neighbours and their distance in Å.
Fractional positions:
Rb  0.0000  0.0000  0.0000  2 O 2.77
Rb  0.0000  0.5000  0.0000  2 O 2.77
Rb  0.0541  0.2500  0.9611  6 O 2.80-2.89
Rb  0.1023  0.1193  0.4693  6 O 2.78-3.09
Rb  0.1023  0.3807  0.4693  6 O 2.78-3.09
Rb  0.8977  0.6193  0.5307  6 O 2.78-3.09
Rb  0.8977  0.8807  0.5307  6 O 2.78-3.09
Rb  0.9459  0.7500  0.0389  6 O 2.80-2.89
U  0.4227  0.7500  0.7155  2 O 1.84
U  0.4236  0.6440  0.2161  2 O 1.85
U  0.4236  0.8560  0.2161  2 O 1.85
U  0.5764  0.1440  0.7839  2 O 1.85
U  0.5764  0.3560  0.7839  2 O 1.85
U  0.5773  0.2500  0.2845  2 O 1.84
As  0.3994  0.5541  0.7112  4 O 1.67-1.74
As  0.3994  0.9459  0.7112  4 O 1.67-1.74
As  0.6006  0.0541  0.2888  4 O 1.67-1.74
As  0.6006  0.4459  0.2888  4 O 1.67-1.74
O  0.1611  0.6370  0.2343  1 U 1.85
O  0.1608  0.7500  0.6931  1 U 1.84
O  0.1611  0.8630  0.2343  1 U 1.85
O  0.1852  0.5171  0.6596  1 As 1.67
O  0.1852  0.9829  0.6596  1 As 1.67
O  0.3151  0.1443  0.8085  1 U 1.85
O  0.3152  0.2500  0.2649  1 U 1.84
O  0.3151  0.3557  0.8085  1 U 1.85
O  0.3808  0.6203  0.8929  1 As 1.73
O  0.3808  0.8797  0.8929  1 As 1.73
O  0.4043  0.7500  0.0348  3 U 2.25-2.26, 2 O 2.47
O  0.4218  0.5103  0.2391  1 As 1.71
O  0.4218  0.9897  0.2391  1 As 1.71
O  0.4259  0.7500  0.3992  3 U 2.24-2.25, 2 O 2.50
O  0.4777  0.6214  0.5485  1 As 1.74
O  0.4777  0.8786  0.5485  1 As 1.74
O  0.5223  0.1214  0.4515  1 As 1.74
O  0.5223  0.3786  0.4515  1 As 1.74
O  0.5741  0.2500  0.6008  3 U 2.24-2.25, 2 O 2.50
O  0.5782  0.0103  0.7609  1 As 1.71
O  0.5782  0.4897  0.7609  1 As 1.71
O  0.5957  0.2500  0.9652  3 U 2.25-2.26, 2 O 2.47
O  0.6192  0.1203  0.1071  1 As 1.73
O  0.6192  0.3797  0.1071  1 As 1.73
O  0.6849  0.6443  0.1915  1 U 1.85
O  0.6848  0.7500  0.7351  1 U 1.84
O  0.6849  0.8557  0.1915  1 U 1.85
O  0.8148  0.0171  0.3404  1 As 1.67
O  0.8148  0.4829  0.3404  1 As 1.67
O  0.8389  0.1370  0.7657  1 U 1.85
O  0.8392  0.2500  0.3069  1 U 1.84
O  0.8389  0.3630  0.7657  1 U 1.85

Output
The formation energy from raw total energies comes out at -2372 meV per atom. As for the crystal system: monoclinic. As for the space group: P2_1/m.

---

No. 4
The following is a DFT calculation (PBEsol) of Re2AsO after structural relaxation.

abc: 5.8550 5.8550 5.8550
angles: 90.00 90.00 90.00
Last column: nearest neighbours and their distance in Å.
Fractional positions:
Re  0.2500  0.2500  0.2500  4 O 2.54, 4 As 2.54
Re  0.2500  0.2500  0.7500  4 O 2.54, 4 As 2.54
Re  0.2500  0.7500  0.2500  4 O 2.54, 4 As 2.54
Re  0.2500  0.7500  0.7500  4 O 2.54, 4 As 2.54
Re  0.7500  0.2500  0.2500  4 O 2.54, 4 As 2.54
Re  0.7500  0.2500  0.7500  4 O 2.54, 4 As 2.54
Re  0.7500  0.7500  0.2500  4 O 2.54, 4 As 2.54
Re  0.7500  0.7500  0.7500  4 O 2.54, 4 As 2.54
As  0.0000  0.0000  0.0000  8 Re 2.54
As  0.0000  0.5000  0.5000  8 Re 2.54
As  0.5000  0.0000  0.5000  8 Re 2.54
As  0.5000  0.5000  0.0000  8 Re 2.54
O  0.0000  0.0000  0.5000  8 Re 2.54
O  0.0000  0.5000  0.0000  8 Re 2.54
O  0.5000  0.0000  0.0000  8 Re 2.54
O  0.5000  0.5000  0.5000  8 Re 2.54

Output
The formation energy from raw total energies comes out at 415 meV per atom. As for the crystal system: cubic. As for the space group: Fm-3m.

---

No. 5
The following is a DFT calculation (PBEsol) of Re2AsSO after structural relaxation.

abc: 4.5157 4.5157 3.3989
angles: 90.00 90.00 90.00
Last column: nearest neighbours and their distance in Å.
Fractional positions:
Re  0.0000  0.5000  0.0000  2 S 2.26
Re  0.5000  0.0000  0.0000  2 S 2.26
As  0.0000  0.0000  0.5000  8 Re 2.83
S  0.5000  0.5000  0.0000  2 O 1.70
O  0.5000  0.5000  0.5000  2 S 1.70

Output
The formation energy from raw total energies comes out at 901 meV per atom. As for the crystal system: tetragonal. As for the space group: P4/mmm.

---

No. 6
The following is a DFT calculation (PBEsol) of AsRhO4 after structural relaxation.

abc: 6.2238 6.3810 3.0206
angles: 90.00 90.00 90.00
Last column: nearest neighbours and their distance in Å.
Fractional positions:
As  0.0000  0.0000  0.0000  6 O 1.83-1.92
As  0.5000  0.5000  0.0000  6 O 1.83-1.92
Rh  0.0000  0.5000  0.5000  6 O 1.98-2.00
Rh  0.5000  0.0000  0.5000  6 O 1.98-2.00
O  0.0000  0.1862  0.5000  2 As 1.92, 1 Rh 2.00
O  0.0000  0.8138  0.5000  2 As 1.92, 1 Rh 2.00
O  0.2053  0.5000  0.0000  1 As 1.83, 2 Rh 1.98
O  0.2947  0.0000  0.0000  1 As 1.83, 2 Rh 1.98
O  0.5000  0.3138  0.5000  2 As 1.92, 1 Rh 2.00
O  0.5000  0.6862  0.5000  2 As 1.92, 1 Rh 2.00
O  0.7053  0.0000  0.0000  1 As 1.83, 2 Rh 1.98
O  0.7947  0.5000  0.0000  1 As 1.83, 2 Rh 1.98

Output
The formation energy from raw total energies comes out at -977 meV per atom. As for the crystal system: orthorhombic. As for the space group: Cmmm.

---

- Among the records above, which one has the lowest formation energy from raw total energies?
  Rb4U3As2O16

---

- formation energy from raw total energies of number 6 (AsRhO4)?
  -977 meV per atom